No. 1
{
  "formula": "Pr2VSi4Pt3",
  "functional": "PBE-GGA",
  "state": "optimized geometry",
  "mass_density_g_cm3": 9.41,
  "raw_formation_energy_ev_per_fu": -9.7,
  "total_magnetization_mub_per_cell": 1.278,
  "energy_ev_per_atom": -6.8219,
  "cell": [[-0.257, -2.004, -3.716], [4.128, -0.898, 0.199], [-2.124, -8.690, 4.833]],
  "species": ["Pt", "Pt", "Pt", "Si", "Si", "Si", "Si", "Pr", "Pr", "V"],
  "frac_coords": [[0.500, 0.000, 0.880], [0.000, 0.500, 0.120], [0.000, 0.000, 0.500], [0.500, 0.500, 0.000], [0.500, 0.000, 0.633], [0.000, 0.000, 0.000], [0.000, 0.500, 0.367], [0.500, 0.000, 0.244], [0.000, 0.500, 0.756], [0.500, 0.500, 0.500]]
}



No. 2
{
  "formula": "Pr2YSi3Pt12",
  "functional": "PBE-GGA",
  "state": "optimized geometry",
  "mass_density_g_cm3": 12.65,
  "raw_formation_energy_ev_per_fu": -9.7,
  "total_magnetization_mub_per_cell": 0.000,
  "energy_ev_per_atom": -6.3620,
  "cell": [[-3.713, -6.051, -3.127], [4.581, -5.177, -3.519], [0.886, -6.698, 3.812]],
  "species": ["Si", "Si", "Si", "Pt", "Pt", "Pt", "Pt", "Pt", "Pt", "Pt", "Pt", "Pt", "Pt", "Pt", "Pt", "Y", "Pr", "Pr"],
  "frac_coords": [[0.500, 0.000, 0.000], [0.000, 0.000, 0.500], [0.000, 0.500, 0.000], [0.856, 0.856, 0.401], [0.100, 0.652, 0.652], [0.599, 0.144, 0.144], [0.401, 0.856, 0.856], [0.144, 0.144, 0.599], [0.348, 0.348, 0.900], [0.348, 0.900, 0.348], [0.652, 0.652, 0.100], [0.144, 0.599, 0.144], [0.652, 0.100, 0.652], [0.900, 0.348, 0.348], [0.856, 0.401, 0.856], [0.000, 0.000, 0.000], [0.401, 0.401, 0.401], [0.599, 0.599, 0.599]]
}



No. 3
{
  "formula": "PrYSi2Pt2",
  "functional": "PBE-GGA",
  "state": "optimized geometry",
  "mass_density_g_cm3": 8.89,
  "raw_formation_energy_ev_per_fu": -6.8,
  "total_magnetization_mub_per_cell": 0.000,
  "energy_ev_per_atom": -6.8293,
  "cell": [[4.167, 0.000, 0.000], [-2.083, 3.608, 0.000], [0.000, 0.000, 8.398]],
  "species": ["Pt", "Pt", "Y", "Pr", "Si", "Si"],
  "frac_coords": [[0.667, 0.333, 0.737], [0.333, 0.667, 0.263], [0.000, 0.000, 0.500], [0.000, 0.000, 0.000], [0.333, 0.667, 0.743], [0.667, 0.333, 0.257]]
}



No. 4
{
  "formula": "PrYSi2Pt5",
  "functional": "PBE-GGA",
  "state": "optimized geometry",
  "mass_density_g_cm3": 12.85,
  "raw_formation_energy_ev_per_fu": -9.2,
  "total_magnetization_mub_per_cell": 0.000,
  "energy_ev_per_atom": -6.8369,
  "cell": [[4.252, 0.000, 0.000], [0.000, 4.252, 0.000], [0.000, 0.000, 9.014]],
  "species": ["Y", "Pt", "Pt", "Pt", "Pt", "Pt", "Si", "Si", "Pr"],
  "frac_coords": [[0.000, 0.000, 0.000], [0.500, 0.000, 0.742], [0.000, 0.500, 0.742], [0.500, 0.000, 0.258], [0.500, 0.500, 0.500], [0.000, 0.500, 0.258], [0.500, 0.500, 0.868], [0.500, 0.500, 0.132], [0.000, 0.000, 0.500]]
}



No. 5
{
  "formula": "Pr2Zn3SiPt4",
  "functional": "PBE-GGA",
  "state": "optimized geometry",
  "mass_density_g_cm3": 11.19,
  "raw_formation_energy_ev_per_fu": -8.3,
  "total_magnetization_mub_per_cell": 0.000,
  "energy_ev_per_atom": -5.1246,
  "cell": [[4.325, 0.000, 0.000], [0.000, 4.325, 0.000], [0.000, 0.000, 10.200]],
  "species": ["Pt", "Pt", "Pt", "Pt", "Zn", "Zn", "Zn", "Pr", "Pr", "Si"],
  "frac_coords": [[0.500, 0.000, 0.620], [0.000, 0.000, 0.000], [0.500, 0.500, 0.000], [0.000, 0.500, 0.380], [0.500, 0.000, 0.864], [0.000, 0.000, 0.500], [0.000, 0.500, 0.136], [0.500, 0.000, 0.251], [0.000, 0.500, 0.749], [0.500, 0.500, 0.500]]
}



No. 6
{
  "formula": "PrZn2SiPt",
  "functional": "PBE-GGA",
  "state": "optimized geometry",
  "mass_density_g_cm3": 8.81,
  "raw_formation_energy_ev_per_fu": -3.4,
  "total_magnetization_mub_per_cell": 0.000,
  "energy_ev_per_atom": -4.4294,
  "cell": [[-0.665, 0.483, 4.132], [-2.669, -3.302, -0.044], [5.636, -1.812, -1.028]],
  "species": ["Zn", "Zn", "Pr", "Si", "Pt"],
  "frac_coords": [[0.056, 0.056, 0.112], [0.692, 0.192, 0.384], [0.440, 0.440, 0.879], [0.822, 0.822, 0.643], [0.203, 0.703, 0.405]]
}